Record 1
Below is a geometry-optimized SrLa2BeFe structure, with properties calculated at the GGA-PBE level.

a b c (Å): 5.107 5.107 5.849
angles (deg): 90.00 90.00 90.00
Atoms (fractional coordinates):
Sr: 0.000 0.000 0.000
La: 0.000 0.500 0.500
La: 0.500 0.000 0.500
Be: 0.500 0.500 0.000
Fe: 0.000 0.000 0.500

## Properties
* symmetry: P4/mmm, No. 123
* magnetic moment: 0.00 μB per cell
* formation enthalpy at 0 K: 0.47 eV/atom
* density of states at the Fermi level: 0.9794 states/eV/atom

---

Record 2
Below is a geometry-optimized LaTi2BeFe structure, with properties calculated at the GGA-PBE level.

a b c (Å): 4.662 4.662 4.141
angles (deg): 90.00 90.00 90.00
Atoms (fractional coordinates):
La: 0.000 0.000 0.000
Ti: 0.000 0.500 0.500
Ti: 0.500 0.000 0.500
Be: 0.500 0.500 0.500
Fe: 0.500 0.500 0.000

## Properties
* symmetry: P4/mmm, No. 123
* magnetic moment: 0.30 μB per cell
* formation enthalpy at 0 K: 0.45 eV/atom
* density of states at the Fermi level: 1.7422 states/eV/atom

---

Q: Among the records above, which one has the lowest formation enthalpy at 0 K?
A: LaTi2BeFe

---

Q: Among the records above, which one has the lowest density of states at the Fermi level?
A: SrLa2BeFe